Compound: Te2AsIN
Source: Alexandria via LeMat-Bulk
Functional: PBE
Structure: relaxed

Cell and atoms, written as extended XYZ:
```
5
Lattice="5.475 0.000 0.000 0.000 5.475 0.000 0.000 0.000 5.437" Properties=species:S:1:pos:R:3 pbc="T T T"
I 0.000 0.000 2.719
As 0.000 0.000 0.000
Te 0.000 2.737 0.000
Te 2.737 0.000 0.000
N 2.737 2.737 2.719
```

Properties
ΔE to the lowest computed polymorph (meV/atom): 909.6
SG: P4/mmm
Theoretical density (g/cm³): 4.8
Volume (A^3/atom): 32.59
Formation energy from raw total energies (eV/atom): 1.76